1.
Density functional theory data (PBE-GGA) for a geometry-optimized GdTlAu structure.

Lattice parameters (Å, degrees): 3.627 3.627 6.234 106.91 106.91 90.00
Sites, in units of the cell vectors:
Tl  0.628  0.628  0.256
Gd  0.933  0.933  0.867
Au  0.288  0.288  0.577

Results
calculated formation energy	-463	meV per atom
space group	I4mm (107)
DOS(E_F)	0.548	states/eV per atom

2.
Density functional theory data (PBE-GGA) for a geometry-optimized Zr2TlW structure.

Lattice parameters (Å, degrees): 4.171 4.171 10.721 78.78 78.78 90.00
Sites, in units of the cell vectors:
Tl  0.000  0.000  0.000
Tl  0.750  0.250  0.500
Zr  0.613  0.125  0.250
Zr  0.137  0.625  0.250
Zr  0.375  0.387  0.750
Zr  0.875  0.863  0.750
W  0.500  0.500  0.000
W  0.250  0.750  0.500

Results
calculated formation energy	895	meV per atom
space group	I-42d (122)
DOS(E_F)	1.040	states/eV per atom

3.
Density functional theory data (PBE-GGA) for a geometry-optimized Y2Si2Br structure.

Lattice parameters (Å, degrees): 7.807 7.807 3.900 90.00 90.00 90.00
Sites, in units of the cell vectors:
Y  0.319  0.819  0.000
Y  0.819  0.681  0.000
Y  0.681  0.181  0.000
Y  0.181  0.319  0.000
Si  0.105  0.605  0.500
Si  0.605  0.895  0.500
Si  0.895  0.395  0.500
Si  0.395  0.105  0.500
Br  0.000  0.000  0.000
Br  0.500  0.500  0.000

Results
space group	P4/mbm (127)
raw formation energy	-0.838	eV per atom
DOS(E_F)	0.665	states/eV per atom